P.
This record from the Alexandria database describes a relaxed structure of TbDy2Tm3. The functional is PBE.

POSCAR file:
```
TbDy2Tm3
1.0
-3.199 -1.299 -0.259
1.547 -7.520 -4.546
0.845 -8.567 9.375
Tb Dy Tm
2 4 6
direct
0.438 0.479 0.644
0.562 0.521 0.356
0.819 0.478 0.884
0.181 0.522 0.116
0.657 0.153 0.532
0.343 0.847 0.468
0.040 0.131 0.789
0.960 0.869 0.211
0.599 0.828 0.974
0.401 0.172 0.026
0.739 0.815 0.707
0.261 0.185 0.293
```

Values from the calculation:
Fermi-level density of states	19.22	states/eV/cell
symmetry	C2/m, No. 12


Q.
This record from the Alexandria database describes a relaxed structure of TbDy2Tm3. The functional is PBE.

POSCAR file:
```
TbDy2Tm3
1.0
6.067 0.087 -0.216
-0.185 6.534 -2.573
0.351 -0.109 9.286
Tb Dy Tm
2 4 6
direct
0.750 0.125 0.000
0.250 0.875 0.000
0.583 0.542 0.334
0.083 0.792 0.334
0.917 0.208 0.666
0.417 0.458 0.666
0.250 0.375 0.000
0.750 0.625 0.000
0.083 0.292 0.334
0.417 0.958 0.666
0.583 0.042 0.334
0.917 0.708 0.666
```

Values from the calculation:
Fermi-level density of states	16.96	states/eV/cell
symmetry	C2/c, No. 15


Most stable structure among those shown: Q. Next: +0.097 eV/atom.